Here is crystalline YNiB2 at its relaxed geometry from the Alexandria database. Energies are from PBE.

Unit cell a=7.351 b=7.351 c=7.351 alpha=148.84 beta=148.84 gamma=44.64
Fractional coordinates of all 8 atoms:
1 Y 0.375 0.625 0.750
2 Y 0.625 0.375 0.250
3 Ni 0.125 0.875 0.250
4 Ni 0.875 0.125 0.750
5 B 0.000 0.000 0.000
6 B 0.000 0.000 0.500
7 B 0.000 0.500 0.000
8 B 0.500 0.000 0.500

Summary:
energy above the lowest structure with this stoichiometry: 0.000 eV per atom
space group: I4_1/amd
ΔH_f (0 K): -271.7 meV/atom

---

Here is crystalline KIn2Pd at its relaxed geometry from the Alexandria database. Energies are from PBE.

Unit cell a=3.428 b=3.428 c=8.700 alpha=90.00 beta=90.00 gamma=90.00
Fractional coordinates of all 4 atoms:
1 K 0.000 0.000 0.000
2 In 0.500 0.500 0.318
3 In 0.500 0.500 0.682
4 Pd 0.000 0.000 0.500

Summary:
space group: P4/mmm
ΔH_f (0 K): -262.7 meV/atom

---

Here is crystalline Er2Sc4Se9 at its relaxed geometry from the Alexandria database. Energies are from PBE.

Unit cell a=6.896 b=6.896 c=18.824 alpha=90.00 beta=90.00 gamma=120.00
Fractional coordinates of all 30 atoms:
1 Er 0.000 0.000 0.152
2 Er 0.000 0.000 0.348
3 Er 0.000 0.000 0.652
4 Er 0.000 0.000 0.848
5 Sc 0.333 0.667 0.010
6 Sc 0.333 0.667 0.322
7 Sc 0.333 0.667 0.510
8 Sc 0.333 0.667 0.822
9 Sc 0.667 0.333 0.178
10 Sc 0.667 0.333 0.490
11 Sc 0.667 0.333 0.678
12 Sc 0.667 0.333 0.990
13 Se 0.000 0.321 0.250
14 Se 0.000 0.679 0.750
15 Se 0.020 0.368 0.917
16 Se 0.020 0.651 0.417
17 Se 0.321 0.000 0.250
18 Se 0.321 0.321 0.750
19 Se 0.349 0.368 0.417
20 Se 0.349 0.980 0.917
21 Se 0.368 0.020 0.583
22 Se 0.368 0.349 0.083
23 Se 0.632 0.651 0.917
24 Se 0.632 0.980 0.417
25 Se 0.651 0.020 0.083
26 Se 0.651 0.632 0.583
27 Se 0.679 0.000 0.750
28 Se 0.679 0.679 0.250
29 Se 0.980 0.349 0.583
30 Se 0.980 0.632 0.083

Summary:
space group: P-3c1
ΔE_f (raw): -1.7169 eV/atom

---

Here is crystalline USi3O9 at its relaxed geometry from the Alexandria database. Energies are from PBE.

Unit cell a=6.991 b=6.991 c=7.145 alpha=90.00 beta=90.00 gamma=95.45
Fractional coordinates of all 26 atoms:
1 U 0.186 0.186 0.000
2 U 0.814 0.814 0.500
3 Si 0.275 0.275 0.500
4 Si 0.294 0.697 0.968
5 Si 0.303 0.706 0.532
6 Si 0.697 0.294 0.032
7 Si 0.706 0.303 0.468
8 Si 0.725 0.725 0.000
9 O 0.117 0.829 0.502
10 O 0.167 0.216 0.703
11 O 0.171 0.883 0.998
12 O 0.195 0.485 0.038
13 O 0.216 0.167 0.297
14 O 0.251 0.497 0.438
15 O 0.333 0.667 0.750
16 O 0.485 0.195 0.962
17 O 0.497 0.251 0.562
18 O 0.503 0.749 0.062
19 O 0.515 0.805 0.462
20 O 0.667 0.333 0.250
21 O 0.749 0.503 0.938
22 O 0.784 0.833 0.797
23 O 0.805 0.515 0.538
24 O 0.829 0.117 0.498
25 O 0.833 0.784 0.203
26 O 0.883 0.171 0.002

Summary:
space group: C222_1
ΔE_f (raw): -2.7478 eV/atom

---

Here is crystalline Eu2InAg at its relaxed geometry from the Alexandria database. Energies are from PBE.

Unit cell a=3.904 b=3.904 c=7.671 alpha=90.00 beta=90.00 gamma=90.00
Fractional coordinates of all 4 atoms:
1 Eu 0.000 0.000 0.242
2 Eu 0.000 0.000 0.758
3 In 0.500 0.500 0.500
4 Ag 0.500 0.500 0.000

Summary:
space group: P4/mmm
ΔH_f (0 K): -369.4 meV/atom

---

Here is crystalline Cs2TmBr6 at its relaxed geometry from the Alexandria database. Energies are from PBE.

Unit cell a=9.099 b=9.099 c=4.557 alpha=90.00 beta=90.00 gamma=120.00
Fractional coordinates of all 9 atoms:
1 Cs 0.333 0.667 0.000
2 Cs 0.667 0.333 0.000
3 Tm 0.000 0.000 0.500
4 Br 0.000 0.219 0.000
5 Br 0.000 0.671 0.500
6 Br 0.219 0.000 0.000
7 Br 0.329 0.329 0.500
8 Br 0.671 0.000 0.500
9 Br 0.781 0.781 0.000

Summary:
space group: P-62m
ΔE_f (raw): -1.4873 eV/atom

---

Here is crystalline SrCrTe2Pt at its relaxed geometry from the Alexandria database. Energies are from PBE.

Unit cell a=4.979 b=4.979 c=6.318 alpha=90.00 beta=90.00 gamma=90.00
Fractional coordinates of all 5 atoms:
1 Sr 0.000 0.000 0.000
2 Cr 0.000 0.000 0.500
3 Te 0.000 0.500 0.500
4 Te 0.500 0.000 0.500
5 Pt 0.500 0.500 0.000

Summary:
space group: P4/mmm
ΔE_f (raw): 0.3720 eV/atom

---

Here is crystalline NdSmScAl at its relaxed geometry from the Alexandria database. Energies are from PBE.

Unit cell a=5.337 b=5.337 c=5.337 alpha=60.00 beta=60.00 gamma=60.00
Fractional coordinates of all 4 atoms:
1 Nd 0.000 0.000 0.000
2 Sm 0.500 0.500 0.500
3 Sc 0.250 0.250 0.250
4 Al 0.750 0.750 0.750

Summary:
space group: F-43m
ΔH_f (0 K): -92.8 meV/atom

---

Here is crystalline PrHf4S8 at its relaxed geometry from the Alexandria database. Energies are from PBE.

Unit cell a=7.912 b=7.912 c=7.912 alpha=54.44 beta=54.44 gamma=54.44
Fractional coordinates of all 13 atoms:
1 Pr 0.000 0.000 0.000
2 Hf 0.000 0.000 0.500
3 Hf 0.000 0.500 0.000
4 Hf 0.500 0.000 0.000
5 Hf 0.500 0.500 0.500
6 S 0.239 0.239 0.239
7 S 0.249 0.738 0.738
8 S 0.262 0.262 0.751
9 S 0.262 0.751 0.262
10 S 0.738 0.249 0.738
11 S 0.738 0.738 0.249
12 S 0.751 0.262 0.262
13 S 0.761 0.761 0.761

Summary:
space group: R-3m
ΔE_f (raw): -1.6767 eV/atom

---

Here is crystalline Re2RuPt at its relaxed geometry from the Alexandria database. Energies are from PBE.

Unit cell a=2.746 b=2.746 c=15.726 alpha=90.00 beta=90.00 gamma=90.00
Fractional coordinates of all 8 atoms:
1 Re 0.250 0.250 0.063
2 Re 0.250 0.250 0.306
3 Re 0.750 0.750 0.694
4 Re 0.750 0.750 0.937
5 Ru 0.250 0.250 0.814
6 Ru 0.750 0.750 0.186
7 Pt 0.250 0.250 0.570
8 Pt 0.750 0.750 0.430

Summary:
energy above the lowest structure with this stoichiometry: 0.091 eV per atom
space group: P4/nmm
ΔH_f (0 K): -36.7 meV/atom

---

Here is crystalline Cu2SiNi at its relaxed geometry from the Alexandria database. Energies are from PBE.

Unit cell a=3.136 b=3.136 c=4.907 alpha=90.00 beta=90.00 gamma=90.00
Fractional coordinates of all 4 atoms:
1 Cu 0.000 0.000 0.250
2 Cu 0.000 0.000 0.750
3 Si 0.500 0.500 0.000
4 Ni 0.500 0.500 0.500

Summary:
space group: P4/mmm
ΔE_f (raw): -0.0201 eV/atom

---

Here is crystalline BaMgTeI2 at its relaxed geometry from the Alexandria database. Energies are from PBE.

Unit cell a=6.559 b=6.559 c=6.849 alpha=90.00 beta=90.00 gamma=90.00
Fractional coordinates of all 5 atoms:
1 Ba 0.000 0.000 0.000
2 Mg 0.500 0.500 0.500
3 Te 0.000 0.000 0.500
4 I 0.000 0.500 0.000
5 I 0.500 0.000 0.000

Summary:
energy above the lowest structure with this stoichiometry: 0.747 eV per atom
space group: P4/mmm
ΔE_f (raw): -0.4136 eV/atom

---

The records above give, respectively, total energy values of -6.672, -3.205, -6.104, -8.300, -6.904, -3.289, -4.354, -4.983, -7.647, -10.090, -4.869, -2.365 eV per atom.